1.
The following is a GGA-PBE calculation of a relaxed structure of PrMgSn2O6, from the Alexandria database.

a = 8.1916 Å, b = 5.8368 Å, c = 5.6020 Å
α = 90.00°, β = 90.00°, γ = 90.00°
Sites, in units of the cell vectors:
Pr  0.0000  0.1895  0.0000
Pr  0.5000  0.8105  0.5000
Mg  0.0000  0.7144  0.4840
Mg  0.5000  0.2856  0.9840
Sn  0.2495  0.7414  0.9885
Sn  0.2505  0.2586  0.4885
Sn  0.7495  0.2586  0.4885
Sn  0.7505  0.7414  0.9885
O  0.0000  0.3357  0.5999
O  0.0000  0.8009  0.8415
O  0.1793  0.9318  0.3091
O  0.1875  0.4420  0.1760
O  0.3125  0.5580  0.6760
O  0.3207  0.0682  0.8091
O  0.5000  0.1991  0.3415
O  0.5000  0.6643  0.0999
O  0.6793  0.0682  0.8091
O  0.6875  0.5580  0.6760
O  0.8125  0.4420  0.1760
O  0.8207  0.9318  0.3091

Values from the calculation:
Formation energy from raw total energies = -2.09 eV/atom

---

2.
The following is a GGA-PBE calculation of a relaxed structure of TbPr2MgO, from the Alexandria database.

a = 5.1273 Å, b = 5.1273 Å, c = 4.7461 Å
α = 90.00°, β = 90.00°, γ = 90.00°
Sites, in units of the cell vectors:
Tb  0.0000  0.0000  0.0000
Pr  0.0000  0.5000  0.5000
Pr  0.5000  0.0000  0.5000
Mg  0.5000  0.5000  0.0000
O  0.0000  0.0000  0.5000

Values from the calculation:
Formation energy from raw total energies = -1.18 eV/atom

---

3.
The following is a GGA-PBE calculation of a relaxed structure of PrMgTeO6, from the Alexandria database.

a = 5.3468 Å, b = 5.3468 Å, c = 10.1581 Å
α = 90.00°, β = 90.00°, γ = 120.00°
Sites, in units of the cell vectors:
Pr  0.0000  0.0000  0.0000
Pr  0.0000  0.0000  0.5000
Mg  0.3333  0.6667  0.2500
Mg  0.6667  0.3333  0.7500
Te  0.3333  0.6667  0.7500
Te  0.6667  0.3333  0.2500
O  0.0229  0.3748  0.6428
O  0.0229  0.6481  0.8572
O  0.3519  0.3748  0.8572
O  0.3519  0.9771  0.6428
O  0.3748  0.0229  0.1428
O  0.3748  0.3519  0.3572
O  0.6252  0.6481  0.6428
O  0.6252  0.9771  0.8572
O  0.6481  0.0229  0.3572
O  0.6481  0.6252  0.1428
O  0.9771  0.3519  0.1428
O  0.9771  0.6252  0.3572

Values from the calculation:
Formation energy from raw total energies = -1.97 eV/atom

---

no.,VASP energy (eV per atom)
1,-6.5016
2,-5.3311
3,-6.3356